Entry 1:
Entry from Alexandria via LeMat-Bulk: crystalline Hf2ZrTl at its relaxed geometry (PBE).

Unit cell a=3.182 b=7.661 c=7.620 alpha=86.44 beta=90.00 gamma=90.00
Atoms (fractional coordinates):
Hf (0.750, 0.925, 0.666)
Hf (0.750, 0.332, 0.559)
Hf (0.250, 0.075, 0.334)
Hf (0.250, 0.668, 0.441)
Zr (0.750, 0.407, 0.163)
Zr (0.250, 0.593, 0.837)
Tl (0.250, 0.179, 0.910)
Tl (0.750, 0.821, 0.090)

Computed properties:
- Energy relative to the lowest polymorph listed for this composition: 74 meV per atom
- Formation energy: 0.051 eV/atom
- Magnetic moment: 0.0 Bohr magnetons per cell
- SG: No. 11

Entry 2:
Entry from Alexandria via LeMat-Bulk: crystalline CaSiRh2Cl at its relaxed geometry (PBE).

Unit cell a=4.956 b=4.878 c=4.956 alpha=90.00 beta=90.00 gamma=90.00
Site moments in Bohr magnetons follow the coordinates.
Atoms (fractional coordinates):
Rh (0.000, 0.000, 0.500)  0.44
Rh (0.500, 0.000, 0.000)  0.41
Si (0.500, 0.500, 0.500)  -0.02
Ca (0.000, 0.000, 0.000)  -0.01
Cl (0.000, 0.500, 0.000)  0.00

Computed properties:
- Formation energy from raw total energies: 1052 meV per atom
- Magnetic moment: 0.8 Bohr magnetons per cell
- SG: No. 123

Entry 3:
Entry from Alexandria via LeMat-Bulk: crystalline SrInPt2 at its relaxed geometry (PBE).

Unit cell a=3.149 b=4.431 c=6.175 alpha=90.00 beta=90.00 gamma=90.00
Atoms (fractional coordinates):
In (0.500, 0.500, 0.816)
Pt (0.500, 0.500, 0.253)
Pt (0.000, 0.000, 0.965)
Sr (0.000, 0.000, 0.466)

Computed properties:
- Formation energy: -0.368 eV/atom
- Magnetic moment: 0.0 Bohr magnetons per cell
- SG: No. 25

Entry 4:
Entry from Alexandria via LeMat-Bulk: crystalline Na2SrTl2Sn2 at its relaxed geometry (PBE).

Unit cell a=5.126 b=5.126 c=9.619 alpha=74.55 beta=74.55 gamma=60.00
Atoms (fractional coordinates):
Na (0.143, 0.143, 0.572)
Na (0.857, 0.857, 0.428)
Tl (0.437, 0.437, 0.688)
Tl (0.563, 0.563, 0.312)
Sr (0.000, 0.000, 0.000)
Sn (0.734, 0.734, 0.797)
Sn (0.266, 0.266, 0.203)

Computed properties:
- Formation energy: -0.242 eV/atom
- Magnetic moment: 0.0 Bohr magnetons per cell
- SG: No. 166

Entry 5:
Entry from Alexandria via LeMat-Bulk: crystalline Ge2Pt3Rh at its relaxed geometry (PBE).

Unit cell a=5.497 b=5.484 c=7.451 alpha=111.59 beta=111.65 gamma=90.00
Atoms (fractional coordinates):
Pt (0.500, 0.250, 0.000)
Pt (0.567, 0.314, 0.629)
Pt (0.500, 0.750, 0.000)
Pt (0.938, 0.186, 0.371)
Pt (0.062, 0.814, 0.629)
Pt (0.433, 0.686, 0.371)
Ge (0.361, 0.126, 0.252)
Ge (0.891, 0.626, 0.252)
Ge (0.639, 0.874, 0.748)
Ge (0.109, 0.374, 0.748)
Rh (0.000, 0.250, 0.000)
Rh (0.000, 0.750, 0.000)

Computed properties:
- Energy relative to the lowest polymorph listed for this composition: 48 meV per atom
- Formation energy: -0.359 eV/atom
- Magnetic moment: 0.0 Bohr magnetons per cell
- SG: No. 72

Entry 6:
Entry from Alexandria via LeMat-Bulk: crystalline CoSiSbI2 at its relaxed geometry (PBE).

Unit cell a=5.271 b=5.271 c=4.822 alpha=90.00 beta=90.00 gamma=90.00
Atoms (fractional coordinates):
Co (0.000, 0.000, 0.000)
Sb (0.000, 0.000, 0.500)
I (0.500, 0.000, 0.000)
I (0.000, 0.500, 0.000)
Si (0.500, 0.500, 0.500)

Computed properties:
- Energy relative to the lowest polymorph listed for this composition: 0 meV per atom
- Formation energy from raw total energies: 713 meV per atom
- Magnetic moment: 0.0 Bohr magnetons per cell
- SG: No. 123

no.,density of states at the Fermi level (states/eV per atom)
1,0.895
2,1.470
3,0.460
4,0.497
5,0.485
6,0.962